Record 1
Compound: LiTbGd2
Source: the Alexandria database
Functional: PBE-GGA
Structure: optimized geometry

Results
Formation enthalpy at 0 K = 0.07 eV/atom
Uncorrected energy = -34.43 eV for the cell shown
Volume = 29.14 Å³/atom

abc: 3.6367 3.6367 8.8131
angles: 90.00 90.00 90.00
With the nearest neighbours (Å) after each atom.
Space group P4/mmm (No. 123)
One atom of each set of equivalent atoms:
Li: 0.0000 0.0000 0.0000 [1 per cell]  8 Gd 3.24
Tb: 0.0000 0.0000 0.5000 [1 per cell]  8 Gd 3.54, 4 Tb 3.64
Gd: 0.5000 0.5000 0.2233 [2 per cell]  4 Li 3.24, 4 Tb 3.54

---

Record 2
Compound: LiTbGd2
Source: the Alexandria database
Functional: PBE-GGA
Structure: optimized geometry

Results
Formation enthalpy at 0 K = 0.13 eV/atom
Uncorrected energy = -34.18 eV for the cell shown
Volume = 29.63 Å³/atom

abc: 5.6531 5.6531 3.7089
angles: 90.00 90.00 90.00
With the nearest neighbours (Å) after each atom.
Space group P4/mmm (No. 123)
One atom of each set of equivalent atoms:
Li: 0.0000 0.0000 0.0000 [1 per cell]  8 Gd 3.38, 2 Li 3.71
Tb: 0.5000 0.5000 0.0000 [1 per cell]  8 Gd 3.38, 2 Tb 3.71
Gd: 0.0000 0.5000 0.5000 [2 per cell]  4 Tb 3.38, 4 Li 3.38, 2 Gd 3.71

---

Record 3
Compound: Li2TbGd
Source: the Alexandria database
Functional: PBE-GGA
Structure: optimized geometry

Results
Formation enthalpy at 0 K = 0.14 eV/atom
Uncorrected energy = -21.98 eV for the cell shown
Volume = 25.83 Å³/atom

abc: 5.2618 5.2618 3.7320
angles: 90.00 90.00 90.00
With the nearest neighbours (Å) after each atom.
Space group P4/mmm (No. 123)
One atom of each set of equivalent atoms:
Li: 0.0000 0.5000 0.0000 [2 per cell]  4 Gd 3.23, 4 Tb 3.23
Tb: 0.0000 0.0000 0.5000 [1 per cell]  8 Li 3.23
Gd: 0.5000 0.5000 0.5000 [1 per cell]  8 Li 3.23

---

Record 4
Compound: LiTb2Gd
Source: the Alexandria database
Functional: PBE-GGA
Structure: optimized geometry

Results
Formation enthalpy at 0 K = 0.08 eV/atom
Uncorrected energy = -24.94 eV for the cell shown
Volume = 28.98 Å³/atom

abc: 3.6175 3.6175 8.8593
angles: 90.00 90.00 90.00
With the nearest neighbours (Å) after each atom.
Space group P4/mmm (No. 123)
One atom of each set of equivalent atoms:
Li: 0.0000 0.0000 0.0000 [1 per cell]  8 Tb 3.23
Tb: 0.5000 0.5000 0.2222 [2 per cell]  4 Li 3.23, 4 Gd 3.55
Gd: 0.0000 0.0000 0.5000 [1 per cell]  8 Tb 3.55, 4 Gd 3.62

---

Record 5
Compound: LiTbGd2
Source: the Alexandria database
Functional: PBE-GGA
Structure: optimized geometry

Results
Formation enthalpy at 0 K = 0.17 eV/atom
Uncorrected energy = -102.10 eV for the cell shown
Volume = 31.84 Å³/atom

abc: 3.4808 3.4808 36.4087
angles: 90.00 90.00 120.00
With the nearest neighbours (Å) after each atom.
Space group R-3m (No. 166, hexagonal axes)
One atom of each set of equivalent atoms:
Li: 0.0000 0.0000 0.0000 [3 per cell]  2 Gd 3.22, 6 Li 3.48
Tb: 0.0000 0.0000 0.5000 [3 per cell]  6 Tb 3.48, 6 Gd 3.49
Gd: 0.0000 0.0000 0.0884 [6 per cell]  1 Li 3.22, 6 Gd 3.48, 3 Tb 3.49

---

Record 6
Compound: LiTbGd2
Source: the Alexandria database
Functional: PBE-GGA
Structure: optimized geometry

Results
Formation enthalpy at 0 K = 0.17 eV/atom
Uncorrected energy = -136.03 eV for the cell shown
Volume = 29.70 Å³/atom

abc: 7.8038 7.8038 7.8038
angles: 90.00 90.00 90.00
With the nearest neighbours (Å) after each atom.
Space group Fm-3m (No. 225)
One atom of each set of equivalent atoms:
Li: 0.0000 0.0000 0.0000 [4 per cell]  8 Gd 3.38
Tb: 0.0000 0.0000 0.5000 [4 per cell]  8 Gd 3.38
Gd: 0.2500 0.2500 0.2500 [8 per cell]  4 Tb 3.38, 4 Li 3.38

---

Record 7
Compound: LiTb2Gd
Source: the Alexandria database
Functional: PBE-GGA
Structure: optimized geometry

Results
Formation enthalpy at 0 K = 0.19 eV/atom
Uncorrected energy = -98.04 eV for the cell shown
Volume = 29.39 Å³/atom

abc: 7.7765 7.7765 7.7765
angles: 90.00 90.00 90.00
With the nearest neighbours (Å) after each atom.
Space group Fm-3m (No. 225)
One atom of each set of equivalent atoms:
Li: 0.0000 0.0000 0.0000 [4 per cell]  8 Tb 3.37
Tb: 0.2500 0.2500 0.2500 [8 per cell]  4 Gd 3.37, 4 Li 3.37
Gd: 0.0000 0.0000 0.5000 [4 per cell]  8 Tb 3.37

---

Record 8
Compound: LiTb2Gd
Source: the Alexandria database
Functional: PBE-GGA
Structure: optimized geometry

Results
Formation enthalpy at 0 K = 0.15 eV/atom
Uncorrected energy = -24.65 eV for the cell shown
Volume = 29.47 Å³/atom

abc: 5.6205 5.6205 3.7321
angles: 90.00 90.00 90.00
With the nearest neighbours (Å) after each atom.
Space group P4/mmm (No. 123)
One atom of each set of equivalent atoms:
Li: 0.0000 0.0000 0.0000 [1 per cell]  8 Tb 3.37, 2 Li 3.73
Tb: 0.0000 0.5000 0.5000 [2 per cell]  4 Gd 3.37, 4 Li 3.37, 2 Tb 3.73
Gd: 0.5000 0.5000 0.0000 [1 per cell]  8 Tb 3.37, 2 Gd 3.73

---

What did the first record say?
Compound: LiTbGd2
Source: the Alexandria database
Functional: PBE-GGA
Structure: optimized geometry

Results
Formation enthalpy at 0 K = 0.07 eV/atom
Uncorrected energy = -34.43 eV for the cell shown
Volume = 29.14 Å³/atom

abc: 3.6367 3.6367 8.8131
angles: 90.00 90.00 90.00
With the nearest neighbours (Å) after each atom.
Space group P4/mmm (No. 123)
One atom of each set of equivalent atoms:
Li: 0.0000 0.0000 0.0000 [1 per cell]  8 Gd 3.24
Tb: 0.0000 0.0000 0.5000 [1 per cell]  8 Gd 3.54, 4 Tb 3.64
Gd: 0.5000 0.5000 0.2233 [2 per cell]  4 Li 3.24, 4 Tb 3.54

---

Question: Which value of volume does entry 6 give?
Answer: 29.70 Å³/atom